Record 1
ZrTl3Sb3S8: optimized geometry, PBE.

Properties
Space-group type: R-3m, No. 166
Total DFT energy (no corrections) (eV/atom): -4.65
ΔE_f (raw) (meV per atom): -578
Crystal system: trigonal
Spin magnetization (μB per formula unit): 0.0

Lattice parameters (Å, degrees): 8.7971 8.7971 8.7971 53.58 53.58 53.58
Fractional positions:
Zr 0.0000 0.0000 0.0000
Tl 0.0000 0.0000 0.5000
Tl 0.0000 0.5000 0.0000
Tl 0.5000 0.0000 0.0000
Sb 0.0000 0.5000 0.5000
Sb 0.5000 0.0000 0.5000
Sb 0.5000 0.5000 0.0000
S 0.2229 0.2229 0.7471
S 0.2229 0.7471 0.2229
S 0.2529 0.7771 0.7771
S 0.2646 0.2646 0.2646
S 0.7354 0.7354 0.7354
S 0.7471 0.2229 0.2229
S 0.7771 0.2529 0.7771
S 0.7771 0.7771 0.2529


Record 2
ZrTl2Sb2S6: optimized geometry, PBE.

Properties
Space-group type: C2/m, No. 12
Total DFT energy (no corrections) (eV/atom): -4.76
ΔE_f (raw) (meV per atom): -550
Crystal system: monoclinic
Spin magnetization (μB per formula unit): 0.0

Lattice parameters (Å, degrees): 6.4362 6.4362 8.2921 104.90 104.90 68.51
Fractional positions:
Zr 0.0000 0.0000 0.0000
Tl 0.1869 0.1869 0.6153
Tl 0.8131 0.8131 0.3847
Sb 0.4072 0.4072 0.2708
Sb 0.5928 0.5928 0.7292
S 0.1874 0.7073 0.7506
S 0.2381 0.2381 0.9986
S 0.2927 0.8126 0.2494
S 0.7073 0.1874 0.7506
S 0.7619 0.7619 0.0014
S 0.8126 0.2927 0.2494


Record 3
Tm3SbS6: optimized geometry, PBE.

Properties
Space-group type: P2_1/m, No. 11
Total DFT energy (no corrections) (eV/atom): -5.81
ΔE_f (raw) (meV per atom): -1581
Crystal system: monoclinic
Polymorph energy (0 for the lowest one) (meV per atom): 0
Spin magnetization (μB per formula unit): 0.0

Lattice parameters (Å, degrees): 11.1328 3.9520 11.2156 90.00 109.34 90.00
Fractional positions:
Tm 0.0699 0.2500 0.1663
Tm 0.1660 0.7500 0.4923
Tm 0.3394 0.2500 0.9222
Tm 0.6606 0.7500 0.0778
Tm 0.8340 0.2500 0.5077
Tm 0.9301 0.7500 0.8337
Sb 0.4884 0.2500 0.3152
Sb 0.5116 0.7500 0.6848
S 0.0145 0.2500 0.3830
S 0.1049 0.2500 0.9372
S 0.2294 0.7500 0.2789
S 0.3032 0.7500 0.7452
S 0.3860 0.2500 0.5331
S 0.4224 0.7500 0.0919
S 0.5776 0.2500 0.9081
S 0.6140 0.7500 0.4669
S 0.6968 0.2500 0.2548
S 0.7706 0.2500 0.7211
S 0.8951 0.7500 0.0628
S 0.9855 0.7500 0.6170


Record 4
TmSbS3: optimized geometry, PBE.

Properties
Space-group type: P2_1/m, No. 11
Total DFT energy (no corrections) (eV/atom): -5.33
ΔE_f (raw) (meV per atom): -1136
Crystal system: monoclinic
Polymorph energy (0 for the lowest one) (meV per atom): 0
Spin magnetization (μB per formula unit): 0.0

Lattice parameters (Å, degrees): 6.9993 3.9109 9.8924 90.00 90.72 90.00
Fractional positions:
Tm 0.0747 0.2500 0.1728
Tm 0.9253 0.7500 0.8272
Sb 0.4126 0.2500 0.8141
Sb 0.5874 0.7500 0.1859
S 0.0971 0.2500 0.6868
S 0.2192 0.7500 0.0091
S 0.4200 0.2500 0.3136
S 0.5800 0.7500 0.6864
S 0.7808 0.2500 0.9909
S 0.9029 0.7500 0.3132


Record 5
Tm6Sb2S: optimized geometry, PBE.

Properties
DOS at the Fermi energy (states/eV/cell): 16.63
Space-group type: P2_1/c, No. 14
Total DFT energy (no corrections) (eV/atom): -5.25
ΔE_f (raw) (meV per atom): -899
Crystal system: monoclinic
Spin magnetization (μB per formula unit): 0.0

Lattice parameters (Å, degrees): 6.4210 7.6955 11.5524 90.00 122.58 90.00
Fractional positions:
Tm 0.1010 0.1867 0.4554
Tm 0.1010 0.3133 0.9554
Tm 0.3116 0.6776 0.4528
Tm 0.3116 0.8224 0.9528
Tm 0.3703 0.0241 0.2361
Tm 0.3703 0.4759 0.7361
Tm 0.6297 0.5241 0.2639
Tm 0.6297 0.9759 0.7639
Tm 0.6884 0.1776 0.0472
Tm 0.6884 0.3224 0.5472
Tm 0.8990 0.6867 0.0446
Tm 0.8990 0.8133 0.5446
Sb 0.1653 0.1194 0.7456
Sb 0.1653 0.3806 0.2456
Sb 0.8347 0.6194 0.7544
Sb 0.8347 0.8806 0.2544
S 0.5000 0.0000 0.5000
S 0.5000 0.5000 0.0000


Record 6
Tm2SbS2: optimized geometry, PBE.

Properties
DOS at the Fermi energy (states/eV/cell): 4.21
Space-group type: C2/c, No. 15
Total DFT energy (no corrections) (eV/atom): -5.65
ΔE_f (raw) (meV per atom): -1385
Crystal system: monoclinic
Spin magnetization (μB per formula unit): 0.0

Lattice parameters (Å, degrees): 6.9193 6.9193 6.5877 110.51 110.51 97.17
Fractional positions:
Tm 0.0903 0.9097 0.7500
Tm 0.3173 0.6827 0.2500
Tm 0.6827 0.3173 0.7500
Tm 0.9097 0.0903 0.2500
Sb 0.3786 0.6214 0.7500
Sb 0.6214 0.3786 0.2500
S 0.0688 0.2771 0.0306
S 0.2771 0.0688 0.5306
S 0.7229 0.9312 0.4694
S 0.9312 0.7229 0.9694


Record 7
Tm3Sb2S: optimized geometry, PBE.

Properties
DOS at the Fermi energy (states/eV/cell): 5.41
Space-group type: Fddd, No. 70
Total DFT energy (no corrections) (eV/atom): -5.61
ΔE_f (raw) (meV per atom): -1316
Crystal system: orthorhombic
Spin magnetization (μB per formula unit): 0.0

Lattice parameters (Å, degrees): 13.8421 13.1920 7.2540 79.45 69.54 31.01
Fractional positions:
Tm 0.0402 0.5362 0.1968
Tm 0.1050 0.6450 0.6450
Tm 0.1968 0.7268 0.0402
Tm 0.2732 0.8032 0.4638
Tm 0.3550 0.8950 0.8950
Tm 0.4638 0.9598 0.2732
Tm 0.5362 0.0402 0.7268
Tm 0.6450 0.1050 0.1050
Tm 0.7268 0.1968 0.5362
Tm 0.8032 0.2732 0.9598
Tm 0.8950 0.3550 0.3550
Tm 0.9598 0.4638 0.8032
Sb 0.1269 0.1269 0.6231
Sb 0.2942 0.2942 0.4558
Sb 0.3769 0.3769 0.8731
Sb 0.4558 0.4558 0.2942
Sb 0.5442 0.5442 0.7058
Sb 0.6231 0.6231 0.1269
Sb 0.7058 0.7058 0.5442
Sb 0.8731 0.8731 0.3769
S 0.0417 0.0417 0.2083
S 0.2083 0.2083 0.0417
S 0.7917 0.7917 0.9583
S 0.9583 0.9583 0.7917


Record 8
Tm2Sb2S7: optimized geometry, PBE.

Properties
Space-group type: Imm2, No. 44
Total DFT energy (no corrections) (eV/atom): -5.14
ΔE_f (raw) (meV per atom): -956
Crystal system: orthorhombic
Spin magnetization (μB per formula unit): 0.0

Lattice parameters (Å, degrees): 9.0167 9.0167 9.0167 154.80 66.28 119.83
Fractional positions:
Tm 0.0000 0.0000 0.0000
Tm 0.5136 0.0136 0.5000
Sb 0.1161 0.3493 0.7669
Sb 0.5824 0.3493 0.2331
S 0.1318 0.7019 0.4300
S 0.1574 0.9704 0.1870
S 0.2719 0.7019 0.5700
S 0.4267 0.5487 0.8780
S 0.6708 0.5487 0.1220
S 0.7834 0.9704 0.8130
S 0.8090 0.3090 0.5000


Record 9
TmSb3S6: optimized geometry, PBE.

Properties
Space-group type: P2_1/m, No. 11
Total DFT energy (no corrections) (eV/atom): -4.86
ΔE_f (raw) (meV per atom): -698
Crystal system: monoclinic
Polymorph energy (0 for the lowest one) (meV per atom): 0
Spin magnetization (μB per formula unit): 0.0

Lattice parameters (Å, degrees): 11.4261 3.8292 11.8570 90.00 101.68 90.00
Fractional positions:
Tm 0.1840 0.2500 0.0274
Tm 0.8160 0.7500 0.9726
Sb 0.0256 0.7500 0.2846
Sb 0.3359 0.2500 0.4150
Sb 0.4095 0.7500 0.8439
Sb 0.5905 0.2500 0.1561
Sb 0.6641 0.7500 0.5850
Sb 0.9744 0.2500 0.7154
S 0.0390 0.7500 0.8985
S 0.1183 0.2500 0.4354
S 0.2116 0.7500 0.2064
S 0.2587 0.2500 0.8029
S 0.3748 0.7500 0.0436
S 0.3804 0.7500 0.5595
S 0.6196 0.2500 0.4405
S 0.6252 0.2500 0.9564
S 0.7413 0.7500 0.1971
S 0.7884 0.2500 0.7936
S 0.8817 0.7500 0.5646
S 0.9610 0.2500 0.1015


Record 10
Tm6SbS4: optimized geometry, PBE.

Properties
DOS at the Fermi energy (states/eV/cell): 14.18
Space-group type: Cmcm, No. 63
Total DFT energy (no corrections) (eV/atom): -5.92
ΔE_f (raw) (meV per atom): -1605
Crystal system: orthorhombic
Spin magnetization (μB per formula unit): 0.0

Lattice parameters (Å, degrees): 6.6096 6.6096 19.7343 90.00 90.00 145.49
Fractional positions:
Tm 0.0000 0.0000 0.0000
Tm 0.0000 0.0000 0.5000
Tm 0.1503 0.8497 0.7500
Tm 0.2712 0.7288 0.0890
Tm 0.2712 0.7288 0.4110
Tm 0.4554 0.5446 0.6595
Tm 0.4554 0.5446 0.8405
Tm 0.5446 0.4554 0.1595
Tm 0.5446 0.4554 0.3405
Tm 0.7288 0.2712 0.5890
Tm 0.7288 0.2712 0.9110
Tm 0.8497 0.1503 0.2500
Sb 0.1682 0.8318 0.2500
Sb 0.8318 0.1682 0.7500
S 0.0905 0.9095 0.6217
S 0.0905 0.9095 0.8783
S 0.3599 0.6401 0.5373
S 0.3599 0.6401 0.9627
S 0.6401 0.3599 0.0373
S 0.6401 0.3599 0.4627
S 0.9095 0.0905 0.1217
S 0.9095 0.0905 0.3783


Record 11
TmSbS2: optimized geometry, PBE.

Properties
DOS at the Fermi energy (states/eV/cell): 0.82
Space-group type: R-3m, No. 166
Total DFT energy (no corrections) (eV/atom): -4.61
ΔE_f (raw) (meV per atom): -395
Crystal system: trigonal
Spin magnetization (μB per formula unit): 0.0

Lattice parameters (Å, degrees): 8.6531 8.6531 8.6531 26.35 26.35 26.35
Fractional positions:
Tm 0.0000 0.0000 0.0000
Sb 0.5000 0.5000 0.5000
S 0.1055 0.1055 0.1055
S 0.8945 0.8945 0.8945


Record 12
Tm4SbS3: optimized geometry, PBE.

Properties
DOS at the Fermi energy (states/eV/cell): 4.25
Space-group type: P-3m1, No. 164
Total DFT energy (no corrections) (eV/atom): -5.90
ΔE_f (raw) (meV per atom): -1598
Crystal system: trigonal
Spin magnetization (μB per formula unit): 0.0

Lattice parameters (Å, degrees): 3.8589 3.8589 13.8208 90.00 90.00 120.00
Fractional positions:
Tm 0.3333 0.6667 0.3533
Tm 0.3333 0.6667 0.8782
Tm 0.6667 0.3333 0.1218
Tm 0.6667 0.3333 0.6467
Sb 0.0000 0.0000 0.5000
S 0.0000 0.0000 0.0000
S 0.0000 0.0000 0.2366
S 0.0000 0.0000 0.7634